(1)
# V2NiN (PBE-GGA, relaxed)
data_V2NiN
_chemical_formula_sum 'V4 Ni2 N2'
_cell_length_a 5.715
_cell_length_b 5.715
_cell_length_c 4.929
_cell_angle_alpha 54.57
_cell_angle_beta 54.57
_cell_angle_gamma 90.00
_space_group_name_H-M_alt 'P 1'
_space_group_IT_number 1
_space_group_name_Hall 'P 1'
loop_
_atom_site_label
_atom_site_fract_x
_atom_site_fract_y
_atom_site_fract_z
Ni1 0.000 0.000 0.000
Ni2 0.750 0.250 0.500
V1 0.560 0.125 0.250
V2 0.190 0.625 0.250
V3 0.375 0.440 0.750
V4 0.875 0.810 0.750
N1 0.500 0.500 0.000
N2 0.250 0.750 0.500
# raw formation energy = -21.57 kJ per mole of atoms
# raw total energy = -8.310 eV/atom



(2)
# V6NiN (PBE-GGA, relaxed)
data_V6NiN
_chemical_formula_sum 'V6 Ni1 N1'
_cell_length_a 4.401
_cell_length_b 4.952
_cell_length_c 4.863
_cell_angle_alpha 82.62
_cell_angle_beta 91.80
_cell_angle_gamma 69.83
_space_group_name_H-M_alt 'P 1'
_space_group_IT_number 1
_space_group_name_Hall 'P 1'
loop_
_atom_site_label
_atom_site_fract_x
_atom_site_fract_y
_atom_site_fract_z
V1 0.061 0.355 0.792
V2 0.788 0.938 0.651
V3 0.588 0.243 0.097
V4 0.212 0.062 0.349
V5 0.939 0.645 0.208
V6 0.412 0.757 0.903
Ni1 0.500 0.500 0.500
N1 0.000 0.000 0.000
# raw formation energy = -30.26 kJ per mole of atoms
# raw total energy = -8.916 eV/atom



(3)
# V3NiN (PBE-GGA, relaxed)
data_V3NiN
_chemical_formula_sum 'V3 Ni1 N1'
_cell_length_a 4.342
_cell_length_b 4.342
_cell_length_c 4.342
_cell_angle_alpha 90.00
_cell_angle_beta 90.00
_cell_angle_gamma 90.00
_space_group_name_H-M_alt 'P 1'
_space_group_IT_number 1
_space_group_name_Hall 'P 1'
loop_
_atom_site_label
_atom_site_fract_x
_atom_site_fract_y
_atom_site_fract_z
Ni1 0.000 0.000 0.000
V1 0.000 0.500 0.000
V2 0.000 0.000 0.500
V3 0.500 0.000 0.000
N1 0.500 0.500 0.500
# raw formation energy = 167.73 kJ per mole of atoms
# raw total energy = -6.554 eV/atom



(4)
# VNi4N4 (PBE-GGA, relaxed)
data_VNi4N4
_chemical_formula_sum 'V2 Ni8 N8'
_cell_length_a 4.863
_cell_length_b 5.153
_cell_length_c 7.751
_cell_angle_alpha 82.77
_cell_angle_beta 83.15
_cell_angle_gamma 80.10
_space_group_name_H-M_alt 'P 1'
_space_group_IT_number 1
_space_group_name_Hall 'P 1'
loop_
_atom_site_label
_atom_site_fract_x
_atom_site_fract_y
_atom_site_fract_z
Ni1 0.632 0.686 0.157
Ni2 0.368 0.314 0.843
Ni3 0.779 0.177 0.065
Ni4 0.221 0.823 0.935
Ni5 0.759 0.441 0.607
Ni6 0.241 0.559 0.393
Ni7 0.254 0.950 0.598
Ni8 0.746 0.050 0.402
N1 0.962 0.748 0.546
N2 0.038 0.252 0.454
N3 0.830 0.846 0.973
N4 0.170 0.154 0.027
N5 0.451 0.652 0.756
N6 0.549 0.348 0.244
N7 0.458 0.836 0.362
N8 0.542 0.164 0.638
V1 0.726 0.860 0.750
V2 0.274 0.140 0.250
# raw formation energy = 3.80 kJ per mole of atoms
# raw total energy = -7.243 eV/atom



(5)
# VNiN3 (PBE-GGA, relaxed)
data_VNiN3
_chemical_formula_sum 'V1 Ni1 N3'
_cell_length_a 3.632
_cell_length_b 3.632
_cell_length_c 3.632
_cell_angle_alpha 90.00
_cell_angle_beta 90.00
_cell_angle_gamma 90.00
_space_group_name_H-M_alt 'P 1'
_space_group_IT_number 1
_space_group_name_Hall 'P 1'
loop_
_atom_site_label
_atom_site_fract_x
_atom_site_fract_y
_atom_site_fract_z
Ni1 0.000 0.000 0.000
V1 0.500 0.500 0.500
N1 0.000 0.500 0.000
N2 0.000 0.000 0.500
N3 0.500 0.000 0.000
# raw formation energy = 118.31 kJ per mole of atoms
# raw total energy = -6.749 eV/atom



(6)
# VNiN2 (PBE-GGA, relaxed)
data_VNiN2
_chemical_formula_sum 'V2 Ni2 N4'
_cell_length_a 4.398
_cell_length_b 4.398
_cell_length_c 5.381
_cell_angle_alpha 65.88
_cell_angle_beta 65.88
_cell_angle_gamma 90.00
_space_group_name_H-M_alt 'P 1'
_space_group_IT_number 1
_space_group_name_Hall 'P 1'
loop_
_atom_site_label
_atom_site_fract_x
_atom_site_fract_y
_atom_site_fract_z
Ni1 0.000 0.000 0.000
Ni2 0.750 0.250 0.500
V1 0.500 0.500 0.000
V2 0.250 0.750 0.500
N1 0.607 0.125 0.250
N2 0.143 0.625 0.250
N3 0.375 0.393 0.750
N4 0.875 0.857 0.750
# raw formation energy = -40.23 kJ per mole of atoms
# raw total energy = -8.305 eV/atom



(7)
# VNi2N3 (PBE-GGA, relaxed)
data_VNi2N3
_chemical_formula_sum 'V2 Ni4 N6'
_cell_length_a 5.660
_cell_length_b 5.660
_cell_length_c 3.985
_cell_angle_alpha 90.00
_cell_angle_beta 90.00
_cell_angle_gamma 113.64
_space_group_name_H-M_alt 'P 1'
_space_group_IT_number 1
_space_group_name_Hall 'P 1'
loop_
_atom_site_label
_atom_site_fract_x
_atom_site_fract_y
_atom_site_fract_z
V1 0.686 0.686 0.750
V2 0.314 0.314 0.250
Ni1 0.001 0.304 0.750
Ni2 0.304 0.001 0.750
Ni3 0.999 0.696 0.250
Ni4 0.696 0.999 0.250
N1 0.992 0.332 0.250
N2 0.332 0.992 0.250
N3 0.008 0.668 0.750
N4 0.668 0.008 0.750
N5 0.634 0.634 0.250
N6 0.366 0.366 0.750
# raw formation energy = -6.39 kJ per mole of atoms
# raw total energy = -7.676 eV/atom



(8)
# VNiN2 (PBE-GGA, relaxed)
data_VNiN2
_chemical_formula_sum 'V1 Ni1 N2'
_cell_length_a 6.047
_cell_length_b 6.047
_cell_length_c 6.047
_cell_angle_alpha 27.24
_cell_angle_beta 27.24
_cell_angle_gamma 27.24
_space_group_name_H-M_alt 'P 1'
_space_group_IT_number 1
_space_group_name_Hall 'P 1'
loop_
_atom_site_label
_atom_site_fract_x
_atom_site_fract_y
_atom_site_fract_z
Ni1 0.000 0.000 0.000
V1 0.500 0.500 0.500
N1 0.896 0.896 0.896
N2 0.104 0.104 0.104
# raw formation energy = -22.79 kJ per mole of atoms
# raw total energy = -8.124 eV/atom



(9)
# VNiN2 (PBE-GGA, relaxed)
data_VNiN2
_chemical_formula_sum 'V2 Ni2 N4'
_cell_length_a 2.844
_cell_length_b 2.844
_cell_length_c 9.815
_cell_angle_alpha 90.00
_cell_angle_beta 90.00
_cell_angle_gamma 120.00
_space_group_name_H-M_alt 'P 1'
_space_group_IT_number 1
_space_group_name_Hall 'P 1'
loop_
_atom_site_label
_atom_site_fract_x
_atom_site_fract_y
_atom_site_fract_z
V1 0.667 0.333 0.250
V2 0.333 0.667 0.750
Ni1 0.000 0.000 0.000
Ni2 0.000 0.000 0.500
N1 0.667 0.333 0.873
N2 0.333 0.667 0.127
N3 0.333 0.667 0.373
N4 0.667 0.333 0.627
# raw formation energy = -15.98 kJ per mole of atoms
# raw total energy = -8.053 eV/atom



(10)
# VZnNi2N (PBE-GGA, relaxed)
data_VZnNi2N
_chemical_formula_sum 'V1 Zn1 Ni2 N1'
_cell_length_a 3.820
_cell_length_b 3.820
_cell_length_c 3.865
_cell_angle_alpha 90.00
_cell_angle_beta 90.00
_cell_angle_gamma 90.00
_space_group_name_H-M_alt 'P 1'
_space_group_IT_number 1
_space_group_name_Hall 'P 1'
loop_
_atom_site_label
_atom_site_fract_x
_atom_site_fract_y
_atom_site_fract_z
Ni1 0.000 0.500 0.000
Ni2 0.500 0.000 0.000
Zn1 0.500 0.500 0.500
N1 0.000 0.000 0.000
V1 0.000 0.000 0.500
# raw formation energy = -25.68 kJ per mole of atoms
# raw total energy = -6.322 eV/atom



(11)
# NiWN2 (PBE-GGA, relaxed)
data_NiWN2
_chemical_formula_sum 'Ni1 W1 N2'
_cell_length_a 6.242
_cell_length_b 6.242
_cell_length_c 6.242
_cell_angle_alpha 27.51
_cell_angle_beta 27.51
_cell_angle_gamma 27.51
_space_group_name_H-M_alt 'P 1'
_space_group_IT_number 1
_space_group_name_Hall 'P 1'
loop_
_atom_site_label
_atom_site_fract_x
_atom_site_fract_y
_atom_site_fract_z
Ni1 0.000 0.000 0.000
W1 0.500 0.500 0.500
N1 0.899 0.899 0.899
N2 0.101 0.101 0.101
# raw formation energy = 1.03 kJ per mole of atoms
# raw total energy = -8.836 eV/atom



(12)
# NiW2N (PBE-GGA, relaxed)
data_NiW2N
_chemical_formula_sum 'Ni2 W4 N2'
_cell_length_a 4.645
_cell_length_b 4.645
_cell_length_c 6.531
_cell_angle_alpha 69.17
_cell_angle_beta 69.17
_cell_angle_gamma 90.00
_space_group_name_H-M_alt 'P 1'
_space_group_IT_number 1
_space_group_name_Hall 'P 1'
loop_
_atom_site_label
_atom_site_fract_x
_atom_site_fract_y
_atom_site_fract_z
Ni1 0.000 0.000 0.000
Ni2 0.750 0.250 0.500
W1 0.544 0.125 0.250
W2 0.206 0.625 0.250
W3 0.375 0.456 0.750
W4 0.875 0.794 0.750
N1 0.500 0.500 0.000
N2 0.250 0.750 0.500
# raw formation energy = 54.07 kJ per mole of atoms
# raw total energy = -9.443 eV/atom



Please write out number 10 again, unchanged.
# VZnNi2N (PBE-GGA, relaxed)
data_VZnNi2N
_chemical_formula_sum 'V1 Zn1 Ni2 N1'
_cell_length_a 3.820
_cell_length_b 3.820
_cell_length_c 3.865
_cell_angle_alpha 90.00
_cell_angle_beta 90.00
_cell_angle_gamma 90.00
_space_group_name_H-M_alt 'P 1'
_space_group_IT_number 1
_space_group_name_Hall 'P 1'
loop_
_atom_site_label
_atom_site_fract_x
_atom_site_fract_y
_atom_site_fract_z
Ni1 0.000 0.500 0.000
Ni2 0.500 0.000 0.000
Zn1 0.500 0.500 0.500
N1 0.000 0.000 0.000
V1 0.000 0.000 0.500
# raw formation energy = -25.68 kJ per mole of atoms
# raw total energy = -6.322 eV/atom